[1]
Entry from Alexandria via LeMat-Bulk: a geometry-optimized K2AgICl3 structure (PBE-GGA).

Lattice parameters (Å, degrees): 9.006 9.006 9.006 146.23 144.32 49.94
Atoms (fractional coordinates):
K1 0.149 0.149 0.000
K2 0.851 0.851 0.000
Ag1 0.500 0.500 0.000
I1 0.000 0.500 0.500
Cl1 0.336 0.336 0.000
Cl2 0.500 0.000 0.500
Cl3 0.664 0.664 0.000

Calculated values
Uncorrected energy = -20.03 eV for the cell shown

[2]
Entry from Alexandria via LeMat-Bulk: a geometry-optimized Ac4P3Pd12Pt structure (PBE-GGA).

Lattice parameters (Å, degrees): 8.244 8.244 8.244 109.47 109.47 109.47
Atoms (fractional coordinates):
Ac1 0.000 0.000 0.500
Ac2 0.000 0.500 0.000
Ac3 0.500 0.000 0.000
Ac4 0.500 0.500 0.500
P1 0.000 0.500 0.500
P2 0.500 0.000 0.500
P3 0.500 0.500 0.000
Pd1 0.000 0.268 0.268
Pd2 0.000 0.732 0.732
Pd3 0.250 0.500 0.750
Pd4 0.250 0.750 0.500
Pd5 0.268 0.000 0.268
Pd6 0.268 0.268 0.000
Pd7 0.500 0.250 0.750
Pd8 0.500 0.750 0.250
Pd9 0.732 0.000 0.732
Pd10 0.732 0.732 0.000
Pd11 0.750 0.250 0.500
Pd12 0.750 0.500 0.250
Pt1 0.000 0.000 0.000

Calculated values
Uncorrected energy = -114.20 eV for the cell shown
ΔH_f (0 K) = -0.659 eV/atom

[3]
Entry from Alexandria via LeMat-Bulk: a geometry-optimized SnPd2I structure (PBE-GGA).

Lattice parameters (Å, degrees): 6.709 6.709 6.709 119.16 119.16 91.46
Atoms (fractional coordinates):
Sn1 0.000 0.000 0.000
Sn2 0.750 0.250 0.500
Pd1 0.113 0.625 0.988
Pd2 0.375 0.363 0.488
Pd3 0.637 0.125 0.012
Pd4 0.875 0.887 0.512
I1 0.250 0.750 0.500
I2 0.500 0.500 0.000

Calculated values
Uncorrected energy = -31.83 eV for the cell shown

[4]
Entry from Alexandria via LeMat-Bulk: a geometry-optimized Pu2FeGe structure (PBE-GGA).

Lattice parameters (Å, degrees): 10.449 10.449 10.449 15.84 15.84 15.84
Atoms (fractional coordinates):
Pu1 0.248 0.248 0.248
Pu2 0.752 0.752 0.752
Fe1 0.500 0.500 0.500
Ge1 0.000 0.000 0.000

Calculated values
Uncorrected energy = -40.61 eV for the cell shown
ΔH_f (0 K) = 0.282 eV/atom

[5]
Entry from Alexandria via LeMat-Bulk: a geometry-optimized Th3SbC structure (PBE-GGA).

Lattice parameters (Å, degrees): 8.926 3.963 14.667 90.00 90.00 90.00
Atoms (fractional coordinates):
Th1 0.026 0.250 0.102
Th2 0.173 0.250 0.505
Th3 0.201 0.750 0.297
Th4 0.299 0.250 0.797
Th5 0.327 0.750 0.005
Th6 0.474 0.750 0.602
Th7 0.526 0.250 0.398
Th8 0.673 0.250 0.995
Th9 0.701 0.750 0.203
Th10 0.799 0.250 0.703
Th11 0.827 0.750 0.495
Th12 0.974 0.750 0.898
Sb1 0.086 0.750 0.676
Sb2 0.414 0.250 0.176
Sb3 0.586 0.750 0.824
Sb4 0.914 0.250 0.324
C1 0.160 0.250 0.946
C2 0.340 0.750 0.446
C3 0.660 0.250 0.554
C4 0.840 0.750 0.054

Calculated values
Uncorrected energy = -153.01 eV for the cell shown

[6]
Entry from Alexandria via LeMat-Bulk: a geometry-optimized AlCr2Pt8 structure (PBE-GGA).

Lattice parameters (Å, degrees): 7.069 7.069 7.069 146.65 117.49 72.73
Atoms (fractional coordinates):
Al1 0.000 0.000 0.000
Cr1 0.308 0.308 0.000
Cr2 0.692 0.692 0.000
Pt1 0.113 0.838 0.275
Pt2 0.138 0.638 0.500
Pt3 0.317 0.500 0.817
Pt4 0.437 0.162 0.275
Pt5 0.563 0.838 0.725
Pt6 0.683 0.500 0.183
Pt7 0.862 0.362 0.500
Pt8 0.887 0.162 0.725

Calculated values
Uncorrected energy = -74.81 eV for the cell shown
ΔH_f (0 K) = -0.318 eV/atom

Look up the uncorrected energy of the second one. -114.20 eV for the cell shown